1.
VASP calculation (PBE) on crystalline Ag3TeI2F6 at its relaxed geometry.

Unit cell a=14.770 b=7.311 c=5.120 alpha=90.00 beta=95.58 gamma=90.00
Space group C2/m (No. 12)
Inequivalent atoms, fractional coordinates:
Ag: 0.000 0.000 0.000 [2 per cell]
Ag: 0.250 0.250 0.500 [4 per cell]
Te: 0.000 0.500 0.500 [2 per cell]
I: 0.186 0.000 0.134 [4 per cell]
F: 0.052 0.302 0.741 [8 per cell]
F: 0.117 0.500 0.329 [4 per cell]

2.
VASP calculation (PBE) on crystalline TiAg3I2F6 at its relaxed geometry.

Unit cell a=14.191 b=6.661 c=4.732 alpha=90.00 beta=98.31 gamma=90.00
Space group C2/m (No. 12)
Inequivalent atoms, fractional coordinates:
Ti: 0.000 0.000 0.000 [2 per cell]
Ag: 0.000 0.500 0.500 [2 per cell]
Ag: 0.250 0.250 0.000 [4 per cell]
I: 0.191 0.500 0.431 [4 per cell]
F: 0.072 0.209 0.849 [8 per cell]
F: 0.091 0.000 0.322 [4 per cell]

3.
VASP calculation (PBE) on crystalline TlAgIF at its relaxed geometry.

Unit cell a=4.5354 b=4.5354 c=42.0893 alpha=90.00 beta=90.00 gamma=120.00
Space group R-3m (No. 166, hexagonal axes)
Inequivalent atoms, fractional coordinates:
Tl: 0.0000 0.0000 0.0000 [3 per cell]
Tl: 0.0000 0.0000 0.5000 [3 per cell]
Ag: 0.0000 0.0000 0.2471 [6 per cell]
I: 0.0000 0.0000 0.3887 [6 per cell]
F: 0.0000 0.0000 0.1957 [6 per cell]

4.
VASP calculation (PBE) on crystalline Tl2AgIF at its relaxed geometry.

Unit cell a=6.697 b=6.697 c=5.501 alpha=90.00 beta=90.00 gamma=90.00
Space group P4/mmm (No. 123)
Inequivalent atoms, fractional coordinates:
Tl: 0.000 0.500 0.000 [2 per cell]
Ag: 0.000 0.000 0.500 [1 per cell]
I: 0.000 0.000 0.000 [1 per cell]
F: 0.500 0.500 0.500 [1 per cell]

5.
VASP calculation (PBE) on crystalline TlAgI2F at its relaxed geometry.

Unit cell a=5.825 b=5.825 c=4.416 alpha=90.00 beta=90.00 gamma=90.00
Space group P4/mmm (No. 123)
Inequivalent atoms, fractional coordinates:
Tl: 0.000 0.000 0.000 [1 per cell]
Ag: 0.500 0.500 0.500 [1 per cell]
I: 0.000 0.500 0.500 [2 per cell]
F: 0.500 0.500 0.000 [1 per cell]

6.
VASP calculation (PBE) on crystalline TlAgIF6 at its relaxed geometry.

Unit cell a=4.815 b=5.793 c=7.072 alpha=91.30 beta=95.08 gamma=113.94
Space group P1 (No. 1)
Inequivalent atoms, fractional coordinates:
Tl: 0.000 0.000 0.000 [1 per cell]
Ag: 0.498 0.000 0.500 [1 per cell]
I: 0.998 0.500 0.500 [1 per cell]
F: 0.143 0.449 0.762 [1 per cell]
F: 0.213 0.301 0.390 [1 per cell]
F: 0.476 0.042 0.782 [1 per cell]
F: 0.520 0.958 0.218 [1 per cell]
F: 0.783 0.698 0.610 [1 per cell]
F: 0.853 0.551 0.238 [1 per cell]

Number 1: calculated total energy -82.24 eV/cell. Number 2: calculated total energy -104.18 eV/cell. Number 3: calculated total energy -72.65 eV/cell. Number 4: calculated total energy -11.52 eV/cell. Number 5: calculated total energy -13.46 eV/cell. Number 6: calculated total energy -30.69 eV/cell.